Compound: NpU2PaSe4
Source: Alexandria
Functional: PBE
Structure: relaxed

Geometry as POSCAR:
```
NpU2PaSe4
1.0
-1.1198 -3.1440 2.0563
5.9191 0.0230 3.2584
-4.7678 4.2574 3.9132
Se U Np Pa
4 2 1 1
Cartesian
0.3083 1.6361 6.4060
3.2446 1.0902 3.4337
-0.2767 -0.4996 2.8220
-2.0933 3.1903 3.7379
-2.9438 0.5567 2.9848
0.5757 2.1402 3.5858
0.0000 0.0000 0.0000
2.3997 -1.5605 2.6574
```

Output
Formation energy without anion corrections ... -1.079 eV/atom
Total magnetization ... 0.36 μB/f.u.
Mass density ... 11.06 g/cm³
DOS at the Fermi energy ... 2.03 states/eV/atom

Compound: HoPa2Se3
Source: Alexandria
Functional: PBE
Structure: relaxed

Geometry as POSCAR:
```
HoPa2Se3
1.0
5.7399 -0.0074 0.0000
0.0150 8.0295 0.0000
0.0000 0.0000 12.3296
Pa Se Ho
8 12 4
Cartesian
1.4464 7.0582 5.1455
1.4390 3.0435 1.0193
4.3084 0.9638 7.1841
4.3116 5.0016 3.0662
1.4432 3.0204 9.2634
1.4507 7.0351 9.2310
4.3158 4.9785 11.3103
4.3041 0.9869 3.0986
1.4461 5.0652 11.3142
4.3172 7.0511 0.9865
1.4342 1.0042 3.0506
4.3097 3.0364 5.1783
1.4417 5.0189 3.1142
4.3161 6.9715 5.1494
1.4451 4.9856 7.1513
1.4376 0.9709 11.3431
4.3206 7.0178 9.2790
1.4387 1.0505 7.1802
4.3131 3.0031 9.2153
4.3087 2.9568 1.0154
1.4472 6.9882 1.0494
1.4397 2.9735 5.1154
4.3151 5.0485 7.2142
4.3077 1.0338 11.2802
```

Output
Formation energy without anion corrections ... -1.371 eV/atom
Total magnetization ... 0.74 μB/f.u.
Mass density ... 10.10 g/cm³
DOS at the Fermi energy ... 1.46 states/eV/atom

Compound: MnNbCr2H
Source: Alexandria
Functional: PBE
Structure: relaxed

Geometry as POSCAR:
```
MnNbCr2H
1.0
-2.6408 -1.0957 -2.2428
2.3738 -0.0928 -2.7497
0.9006 -4.0412 0.9139
H Nb Cr Mn
1 1 2 1
Cartesian
0.0000 0.0000 0.0000
0.3168 -2.6149 -2.0394
1.1869 -0.0464 -1.3749
-1.3204 -0.5478 -1.1214
0.4503 -2.0206 0.4569
```

Output
Total DFT energy (no corrections) ... -8.18 eV per atom
Total magnetization ... 2.44 μB/f.u.
Mass density ... 7.50 g/cm³
DOS at the Fermi energy ... 1.06 states/eV/atom

Compound: Li6CaGa12
Source: Alexandria
Functional: PBE
Structure: relaxed

Geometry as POSCAR:
```
Li6CaGa12
1.0
-1.0837 -1.7746 -7.0381
3.9119 -5.6319 2.6148
-6.6102 -0.9298 3.0494
Ga Li Ca
12 6 1
Cartesian
-3.8350 -2.6671 -4.4432
-2.6184 -5.6156 -2.6352
-4.0416 -3.8394 3.2384
2.2034 -5.9979 -0.8561
-5.9855 -2.3384 -0.5178
0.2370 -2.9348 -1.2954
-1.1637 -2.7207 1.2613
0.2595 -4.4969 -4.6123
-4.0191 -5.4015 -0.0785
-2.4299 -1.7430 -1.1853
-1.3522 -6.5933 -0.1886
0.0529 -5.6692 3.0693
-2.2193 -5.1454 1.9390
-3.8461 -2.8419 0.8548
-1.5628 -3.1909 -3.3129
0.5011 -4.7846 0.6752
-4.2832 -3.5517 -2.0491
0.0640 -5.4944 -2.2287
0.0000 0.0000 0.0000
```

Output
Total DFT energy (no corrections) ... -2.76 eV per atom
Total magnetization ... 0.00 μB/f.u.
Mass density ... 4.29 g/cm³
DOS at the Fermi energy ... 0.38 states/eV/atom

Compound: Ti2HPd
Source: Alexandria
Functional: PBE
Structure: relaxed

Geometry as POSCAR:
```
Ti2HPd
1.0
3.8200 0.0000 0.0000
0.0000 5.8815 -0.5819
0.0000 -1.9436 9.0776
Pd H Ti
4 4 8
Cartesian
2.8650 -0.1538 5.2546
2.8650 0.1792 8.0709
0.9550 4.0917 3.2411
0.9550 3.7587 0.4248
0.9550 2.5685 5.1506
2.8650 0.5996 0.9027
2.8650 1.3694 3.3451
0.9550 3.3383 7.5929
2.8650 2.4638 1.8005
2.8650 2.7647 4.8563
2.8650 3.1421 7.8873
2.8650 -0.4949 2.4474
0.9550 0.7958 0.6084
0.9550 1.1732 3.6394
0.9550 4.4328 6.0483
0.9550 1.4740 6.6952
```

Output
Total DFT energy (no corrections) ... -6.51 eV per atom
Total magnetization ... 0.00 μB/f.u.
Mass density ... 6.76 g/cm³
DOS at the Fermi energy ... 0.86 states/eV/atom

Compound: LaTlMo2
Source: Alexandria
Functional: PBE
Structure: relaxed

Geometry as POSCAR:
```
LaTlMo2
1.0
5.5948 -0.0088 0.0000
-1.9325 5.2504 0.0000
0.0000 0.0000 2.8762
La Tl Mo
1 1 2
Cartesian
-0.9662 2.6252 1.4381
2.7974 -0.0044 1.4381
1.8311 2.6208 0.0000
0.0000 0.0000 0.0000
```

Output
Energy relative to the lowest polymorph listed for this composition ... 653 meV/atom
Total magnetization ... 0.00 μB/f.u.
Mass density ... 10.52 g/cm³
DOS at the Fermi energy ... 0.94 states/eV/atom

Compound: CaCoMoP2
Source: Alexandria
Functional: PBE
Structure: relaxed

Geometry as POSCAR:
```
CaCoMoP2
1.0
-0.3158 2.7727 -2.8694
1.7018 -2.5098 -2.6125
-5.3012 -1.9524 1.4885
Ca Co P Mo
1 1 2 1
Cartesian
0.0000 0.0000 0.0000
-2.4620 0.4758 -2.0609
-3.3863 -1.3381 -0.9204
-0.5289 -0.3514 -3.0730
-1.4532 -2.1654 -1.9325
```

Output
Total DFT energy (no corrections) ... -6.86 eV per atom
Total magnetization ... 0.00 μB/f.u.
Mass density ... 5.21 g/cm³
DOS at the Fermi energy ... 0.89 states/eV/atom

Compound: CsCoAu3
Source: Alexandria
Functional: PBE
Structure: relaxed

Geometry as POSCAR:
```
CsCoAu3
1.0
-1.1324 -4.5055 -2.0398
2.4730 1.2964 -4.2364
4.2831 -1.9398 1.9067
Au Cs Co
3 1 1
Cartesian
1.2365 0.6482 -2.1182
-0.5662 -2.2528 -1.0199
2.1416 -0.9699 0.9533
2.8118 -2.5744 -2.1848
0.0000 0.0000 0.0000
```

Output
Energy relative to the lowest polymorph listed for this composition ... 0 meV/atom
Total magnetization ... 2.10 μB/f.u.
Mass density ... 9.95 g/cm³
DOS at the Fermi energy ... 1.35 states/eV/atom